1.
The following is a DFT calculation (PBE with a Hubbard U) of a geometry-optimized BaCa2VO structure.

Cell lengths 4.7735, 4.7735, 5.9357 Å; angles 90.00, 90.00, 90.00 degrees
Space group P4/mmm (No. 123)
Asymmetric unit:
Ba (0.0000, 0.0000, 0.0000) [1 per cell]
Ca (0.0000, 0.5000, 0.5000) [2 per cell]
V (0.5000, 0.5000, 0.0000) [1 per cell]
O (0.0000, 0.0000, 0.5000) [1 per cell]

Properties
E   -20.18 eV/cell
Spin magnetization   0.78 μB per formula unit


2.
The following is a DFT calculation (PBE with a Hubbard U) of a geometry-optimized BaCaW2O8 structure.

Cell lengths 7.8675, 7.8675, 7.0356 Å; angles 90.00, 90.00, 90.00 degrees
Space group I-4m2 (No. 119)
Asymmetric unit:
Ba (0.0000, 0.0000, 0.0000) [2 per cell]
Ca (0.0000, 0.5000, 0.7500) [2 per cell]
W (0.0000, 0.0000, 0.5000) [2 per cell]
W (0.0000, 0.5000, 0.2500) [2 per cell]
O (0.0000, 0.1868, 0.6536) [8 per cell]
O (0.0000, 0.3232, 0.0850) [8 per cell]

Properties
E   -173.83 eV/cell
Spin magnetization   0.00 μB per formula unit


> Which formula does entry 1 have?

BaCa2VO